A relaxed structure of BeMoRh2. Source: Alexandria via LeMat-Bulk, functional GGA-PBEsol.

Structure (POSCAR):
```
BeMoRh2
1.0
2.754 0.000 0.000
0.000 2.754 0.000
0.000 0.000 6.482
Be Mo Rh
1 1 2
direct
0.000 0.000 0.000 Be
0.000 0.000 0.500 Mo
0.500 0.500 0.214 Rh
0.500 0.500 0.786 Rh
```

Summary:
**SG**: P4/mmm, No. 123
**Crystal system**: tetragonal
**Energy of formation**: -0.44 eV per atom
**VASP energy**: -8.447 eV per atom